[1]
## Li5CuF8 (PBE)

Data for a relaxed structure of Li5CuF8.

a b c (Å): 7.2191 7.2191 5.8249
angles (deg): 90.00 90.00 90.00
Closest atoms and distances in Å follow each position.
Space group I-4 (No. 82)
One atom of each set of equivalent atoms:
Li  0.0000  0.0000  0.0000 (multiplicity 2)  4 F 1.94
Li  0.2043  0.7136  0.1277 (multiplicity 8)  4 F 1.89-2.08
Cu  0.0000  0.5000  0.7500 (multiplicity 2)  4 F 1.81
F  0.0557  0.2438  0.1218 (multiplicity 8)  3 Li 1.89-1.94
F  0.0616  0.2647  0.6733 (multiplicity 8)  1 Cu 1.81

Values from the calculation:
Its formation energy from raw total energies is -2406 meV per atom. The final energy comes out at -62.3 eV/f.u. The distance to the lowest polymorph of the same formula is 111 meV per atom.


[2]
## Li4Cu3F10 (PBE)

Data for a relaxed structure of Li4Cu3F10.

a b c (Å): 5.4843 5.5046 8.6191
angles (deg): 76.90 87.35 65.56
Closest atoms and distances in Å follow each position.
Space group P-1 (No. 2)
One atom of each set of equivalent atoms:
Li  0.1038  0.0340  0.3479 (multiplicity 2)  4 F 1.91-2.01
Li  0.3819  0.9925  0.7220 (multiplicity 2)  4 F 1.86-2.03
Cu  0.2017  0.6370  0.1333 (multiplicity 2)  4 F 1.89-1.95
Cu  0.5000  0.5000  0.5000 (multiplicity 1)  4 F 1.89-1.93
F  0.0000  0.0000  0.0000 (multiplicity 1)  2 Cu 1.95
F  0.0195  0.2275  0.7038 (multiplicity 2)  2 Li 1.86-1.96, 1 Cu 1.89
F  0.2615  0.2728  0.2403 (multiplicity 2)  2 Li 1.88-1.91, 1 Cu 1.90
F  0.2643  0.8254  0.5686 (multiplicity 2)  1 Cu 1.93, 3 Li 2.00-2.03
F  0.4816  0.7324  0.2984 (multiplicity 2)  1 Cu 1.89, 1 Li 1.92
F  0.5000  0.5000  0.0000 (multiplicity 1)  2 Cu 1.94

Values from the calculation:
The calculation puts the density of states at the Fermi level at 1.24 states/eV per cell. Its formation energy from raw total energies is -2123 meV per atom. The final energy comes out at -74.7 eV/f.u.


[3]
## Li2Cu2F7 (PBE)

Data for a relaxed structure of Li2Cu2F7.

a b c (Å): 3.9614 5.3556 13.1443
angles (deg): 90.00 97.66 90.00
Closest atoms and distances in Å follow each position.
Space group P2_1 (No. 4)
One atom of each set of equivalent atoms:
Li  0.0622  0.0000  0.1588 (multiplicity 2)  4 F 1.94-2.05
Li  0.3832  0.3796  0.4634 (multiplicity 2)  4 F 1.92-2.12
Cu  0.3693  0.3538  0.6861 (multiplicity 2)  6 F 1.89-2.02
Cu  0.4607  0.8845  0.8995 (multiplicity 2)  6 F 1.91-2.03
F  0.0410  0.3392  0.1048 (multiplicity 2)  1 Li 1.95, 2 Cu 2.00
F  0.1230  0.8697  0.2974 (multiplicity 2)  1 Li 1.94, 2 Cu 1.99-2.00
F  0.3146  0.1392  0.5695 (multiplicity 2)  1 Cu 1.90, 2 Li 1.92-1.94
F  0.3393  0.6177  0.5895 (multiplicity 2)  1 Cu 1.89, 2 Li 1.97-2.12
F  0.4078  0.0740  0.7754 (multiplicity 2)  2 Cu 1.90-1.91
F  0.4253  0.5685  0.8135 (multiplicity 2)  2 Cu 2.02-2.03, 2 Li 2.05
F  0.4818  0.2065  0.9709 (multiplicity 2)  2 Cu 1.94-1.96

Values from the calculation:
The calculation puts the density of states at the Fermi level at 4.58 states/eV per cell. Its formation energy from raw total energies is -1962 meV per atom. The final energy comes out at -46.7 eV/f.u. The distance to the lowest polymorph of the same formula is 26 meV per atom.


[4]
## Li2Cu3F8 (PBE)

Data for a relaxed structure of Li2Cu3F8.

a b c (Å): 6.3796 8.3141 6.4953
angles (deg): 90.00 111.70 90.00
Closest atoms and distances in Å follow each position.
Space group P2_1/c (No. 14)
One atom of each set of equivalent atoms:
Li  0.2424  0.1093  0.3673 (multiplicity 4)  4 F 1.88-2.00
Cu  0.2281  0.7453  0.0972 (multiplicity 4)  4 F 1.89-2.02
Cu  0.5000  0.0000  0.0000 (multiplicity 2)  4 F 1.95
F  0.0147  0.7407  0.2371 (multiplicity 4)  1 Li 1.88, 1 Cu 1.90
F  0.2616  0.5175  0.6179 (multiplicity 4)  2 Cu 1.95-1.98, 1 Li 1.97
F  0.2718  0.5202  0.1150 (multiplicity 4)  1 Li 1.89, 1 Cu 1.89
F  0.4967  0.2339  0.9847 (multiplicity 4)  2 Cu 1.95-2.02, 1 Li 2.00

Values from the calculation:
The calculation puts the density of states at the Fermi level at 2.87 states/eV per cell. Its formation energy from raw total energies is -1930 meV per atom. The final energy comes out at -56.2 eV/f.u. The distance to the lowest polymorph of the same formula is 1 meV per atom.


[5]
## Li2CuF5 (PBE)

Data for a relaxed structure of Li2CuF5.

a b c (Å): 7.3257 8.6610 2.9325
angles (deg): 90.00 90.00 90.00
Closest atoms and distances in Å follow each position.
Space group Pbam (No. 55)
One atom of each set of equivalent atoms:
Li  0.0660  0.1411  0.0000 (multiplicity 4)  5 F 1.97-2.11
Cu  0.0000  0.5000  0.5000 (multiplicity 2)  6 F 1.89-1.96
F  0.0000  0.0000  0.5000 (multiplicity 2)  4 Li 1.97
F  0.0867  0.2946  0.5000 (multiplicity 4)  1 Cu 1.89, 2 Li 1.98
F  0.1654  0.5537  0.0000 (multiplicity 4)  2 Cu 1.96, 1 Li 2.11

Values from the calculation:
The calculation puts the density of states at the Fermi level at 4.45 states/eV per cell. Its formation energy from raw total energies is -2128 meV per atom. The final energy comes out at -34.3 eV/f.u.


[6]
## Li5CuF8 (PBE)

Data for a relaxed structure of Li5CuF8.

a b c (Å): 8.3279 8.3279 8.3279
angles (deg): 90.00 90.00 90.00
Closest atoms and distances in Å follow each position.
Space group F-43m (No. 216)
One atom of each set of equivalent atoms:
Li  0.0000  0.0000  0.0000 (multiplicity 4)  4 F 1.89
Li  0.1337  0.1337  0.6337 (multiplicity 16)  6 F 1.96-2.12
Cu  0.2500  0.2500  0.2500 (multiplicity 4)  4 F 1.88
F  0.1198  0.1198  0.3802 (multiplicity 16)  1 Cu 1.88
F  0.1313  0.1313  0.8687 (multiplicity 16)  4 Li 1.89-1.96

Values from the calculation:
The calculation puts the density of states at the Fermi level at 64.19 states/eV per cell. Its formation energy from raw total energies is -2395 meV per atom. The final energy comes out at -62.2 eV/f.u. The distance to the lowest polymorph of the same formula is 122 meV per atom.


[7]
## LiCuF3 (PBE)

Data for a relaxed structure of LiCuF3.

a b c (Å): 5.3862 3.0302 7.9103
angles (deg): 90.00 107.36 90.00
Closest atoms and distances in Å follow each position.
Space group P2_1/m (No. 11)
One atom of each set of equivalent atoms:
Li  0.1219  0.2500  0.3816 (multiplicity 2)  5 F 1.96-2.11
Cu  0.4781  0.2500  0.8232 (multiplicity 2)  3 F 1.86-1.93
F  0.1572  0.2500  0.6361 (multiplicity 2)  1 Cu 1.91, 3 Li 1.96-2.11
F  0.2985  0.2500  0.0012 (multiplicity 2)  3 Cu 1.93-2.16
F  0.3137  0.7500  0.3262 (multiplicity 2)  1 Cu 1.86, 2 Li 1.96

Values from the calculation:
The calculation puts the density of states at the Fermi level at 0.07 states/eV per cell. Its formation energy from raw total energies is -2030 meV per atom. The final energy comes out at -21.8 eV/f.u. The distance to the lowest polymorph of the same formula is 52 meV per atom.


[8]
## LiCu3F10 (PBE)

Data for a relaxed structure of LiCu3F10.

a b c (Å): 3.7982 7.1435 14.2090
angles (deg): 90.00 94.23 90.00
Closest atoms and distances in Å follow each position.
Space group Pc (No. 7)
One atom of each set of equivalent atoms:
Li  0.0000  0.2415  0.0000 (multiplicity 2)  4 F 1.98-2.21
Cu  0.3611  0.1205  0.2162 (multiplicity 2)  6 F 1.77-1.93
Cu  0.3940  0.3651  0.6275 (multiplicity 2)  5 F 1.85-2.02
Cu  0.4334  0.4764  0.8811 (multiplicity 2)  6 F 1.84-1.96
F  0.3188  0.3039  0.1225 (multiplicity 2)  1 Cu 1.87
F  0.3520  0.0833  0.6271 (multiplicity 2)  2 Cu 1.93-2.02
F  0.3891  0.0378  0.8128 (multiplicity 2)  1 Cu 1.77
F  0.3974  0.3779  0.4972 (multiplicity 2)  2 Cu 1.86-1.96
F  0.4001  0.2979  0.3186 (multiplicity 2)  2 Cu 1.84-1.93
F  0.4224  0.3661  0.7578 (multiplicity 2)  2 Cu 1.85-1.92
F  0.4773  0.2528  0.9523 (multiplicity 2)  1 Cu 1.89, 2 Li 1.98-2.05
F  0.8603  0.1245  0.2104 (multiplicity 2)  2 Cu 1.90
F  0.8928  0.3844  0.6270 (multiplicity 2)  2 Cu 1.90-1.91
F  0.9354  0.4576  0.8885 (multiplicity 2)  2 Cu 1.91

Values from the calculation:
The calculation puts the density of states at the Fermi level at 10.96 states/eV per cell. Its formation energy from raw total energies is -1507 meV per atom. The final energy comes out at -54.0 eV/f.u. The distance to the lowest polymorph of the same formula is 0 meV per atom.


[9]
## LiMgCu2F8 (PBE)

Data for a relaxed structure of LiMgCu2F8.

a b c (Å): 5.1310 5.1310 10.6833
angles (deg): 90.00 90.00 90.00
Closest atoms and distances in Å follow each position.
Space group I-4 (No. 82)
One atom of each set of equivalent atoms:
Li  0.0000  0.0000  0.0000 (multiplicity 2)  4 F 2.02
Mg  0.0000  0.5000  0.2500 (multiplicity 2)  4 F 1.95
Cu  0.0000  0.0000  0.5000 (multiplicity 2)  4 F 1.82
Cu  0.0000  0.5000  0.7500 (multiplicity 2)  4 F 1.87
F  0.1702  0.3007  0.4611 (multiplicity 8)  1 Cu 1.82, 1 Li 2.02
F  0.1877  0.8008  0.7909 (multiplicity 8)  1 Cu 1.87, 1 Mg 1.95

Values from the calculation:
The calculation puts the density of states at the Fermi level at 8.72 states/eV per cell. Its formation energy from raw total energies is -2098 meV per atom. The final energy comes out at -51.8 eV/f.u.


[10]
## LiMgCuF6 (PBE)

Data for a relaxed structure of LiMgCuF6.

a b c (Å): 4.6514 4.6514 9.1200
angles (deg): 90.00 90.00 90.00
Closest atoms and distances in Å follow each position.
Space group P4_2nm (No. 102)
One atom of each set of equivalent atoms:
Li  0.0000  0.0000  0.0000 (multiplicity 2)  6 F 2.03-2.06
Mg  0.0000  0.0000  0.6677 (multiplicity 2)  6 F 2.01-2.02
Cu  0.0000  0.0000  0.3316 (multiplicity 2)  6 F 1.93-1.94
F  0.1908  0.1908  0.4937 (multiplicity 4)  1 Cu 1.94, 1 Mg 2.02, 1 Li 2.03
F  0.1950  0.1950  0.1728 (multiplicity 4)  1 Cu 1.93, 1 Mg 2.01, 1 Li 2.03
F  0.2069  0.2069  0.8302 (multiplicity 4)  1 Cu 1.93, 1 Mg 2.01, 1 Li 2.06

Values from the calculation:
Its formation energy from raw total energies is -2454 meV per atom. The final energy comes out at -40.9 eV/f.u.


[11]
## LiMgCuF2 (PBE)

Data for a relaxed structure of LiMgCuF2.

a b c (Å): 3.7940 3.7940 4.5868
angles (deg): 90.00 90.00 90.00
Closest atoms and distances in Å follow each position.
Space group P4/mmm (No. 123)
One atom of each set of equivalent atoms:
Li  0.0000  0.0000  0.0000 (multiplicity 1)  4 F 1.90
Mg  0.5000  0.5000  0.5000 (multiplicity 1)  4 Cu 2.68, 8 F 2.98
Cu  0.0000  0.0000  0.5000 (multiplicity 1)  2 Li 2.29
F  0.0000  0.5000  0.0000 (multiplicity 2)  2 Li 1.90

Values from the calculation:
The calculation puts the density of states at the Fermi level at 0.39 states/eV per cell. Its formation energy from raw total energies is -1304 meV per atom. The final energy comes out at -17.9 eV/f.u.